Compound: SrB6H8O14
Source: Alexandria
Functional: meta-GGA SCAN
Structure: PBEsol geometry

Lattice parameters (Å, degrees): 8.136 9.901 13.425 106.89 90.00 90.00
Element x y z (fractional)
1 B 0.881 0.727 0.753
2 H 0.383 0.744 0.560
3 B 0.149 0.656 0.812
4 B 0.840 0.607 0.187
5 O 0.284 0.947 0.421
6 Sr 0.565 0.468 0.656
7 H 0.232 0.468 0.557
8 B 0.160 0.393 0.813
9 O 0.716 0.053 0.579
10 H 0.872 0.771 0.421
11 O 0.016 0.759 0.818
12 H 0.963 0.379 0.538
13 H 0.179 0.846 0.979
14 B 0.340 0.893 0.313
15 O 0.041 0.281 0.807
16 H 0.768 0.532 0.443
17 O 0.660 0.553 0.480
18 B 0.546 0.970 0.192
19 B 0.660 0.107 0.687
20 O 0.203 0.236 0.007
21 O 0.484 0.259 0.318
22 H 0.398 0.505 0.115
23 O 0.076 0.927 0.646
24 O 0.340 0.447 0.520
25 O 0.956 0.593 0.406
26 O 0.776 0.837 0.762
27 O 0.984 0.241 0.182
28 H 0.898 0.995 0.385
29 B 0.240 0.086 0.464
30 B 0.760 0.914 0.536
31 O 0.224 0.163 0.238
32 H 0.537 0.879 0.038
33 O 0.715 0.814 0.583
34 O 0.797 0.764 0.993
35 O 0.044 0.407 0.594
36 B 0.890 0.270 0.758
37 Sr 0.435 0.532 0.344
38 H 0.679 0.654 0.521
39 O 0.424 0.427 0.146
40 H 0.141 0.846 0.604
41 O 0.076 0.510 0.780
42 H 0.463 0.121 0.962
43 H 0.732 0.032 0.943
44 O 0.784 0.553 0.079
45 O 0.840 0.053 0.980
46 O 0.924 0.490 0.220
47 B 0.649 0.844 0.688
48 O 0.339 0.627 0.058
49 O 0.459 0.781 0.307
50 O 0.642 0.094 0.188
51 O 0.576 0.573 0.854
52 O 0.661 0.373 0.942
53 O 0.703 0.264 0.493
54 O 0.216 0.447 0.921
55 O 0.142 0.406 0.312
56 H 0.037 0.621 0.462
57 O 0.161 0.127 0.558
58 H 0.883 0.756 0.940
59 O 0.576 0.990 0.720
60 H 0.372 0.729 0.079
61 B 0.610 0.770 0.258
62 O 0.424 0.010 0.280
63 O 0.800 0.153 0.756
64 H 0.321 0.346 0.479
65 O 0.215 0.686 0.917
66 O 0.516 0.741 0.682
67 O 0.858 0.594 0.688
68 H 0.102 0.005 0.615
69 H 0.697 0.179 0.520
70 O 0.785 0.314 0.083
71 B 0.390 0.230 0.742
72 O 0.959 0.719 0.193
73 B 0.619 0.227 0.253
74 H 0.821 0.154 0.021
75 O 0.700 0.653 0.256
76 H 0.628 0.271 0.921
77 Sr 0.065 0.032 0.844
78 O 0.838 0.369 0.711
79 O 0.456 0.907 0.094
80 O 0.200 0.847 0.244
81 O 0.358 0.906 0.812
82 H 0.303 0.821 0.480
83 O 0.162 0.631 0.289
84 O 0.924 0.073 0.354
85 B 0.851 0.344 0.188
86 O 0.285 0.186 0.417
87 O 0.276 0.663 0.738
88 Sr 0.935 0.968 0.156
89 H 0.859 0.154 0.396
90 B 0.351 0.156 0.312
91 B 0.740 0.414 0.036
92 B 0.454 0.030 0.808
93 O 0.839 0.873 0.442
94 O 0.724 0.337 0.262
95 O 0.544 0.093 0.906
96 B 0.046 0.530 0.308
97 O 0.300 0.347 0.744
98 B 0.119 0.273 0.247
99 B 0.381 0.773 0.747
100 H 0.117 0.244 0.060
101 O 0.160 0.947 0.020
102 H 0.359 0.346 0.104
103 B 0.954 0.470 0.692
104 O 0.338 0.131 0.789
105 H 0.617 0.256 0.440
106 H 0.197 0.321 0.980
107 H 0.641 0.654 0.896
108 H 0.268 0.968 0.057
109 H 0.803 0.679 0.020
110 O 0.541 0.219 0.693
111 O 0.662 0.869 0.211
112 H 0.128 0.229 0.579
113 O 0.297 0.736 0.507
114 B 0.110 0.730 0.242
115 H 0.602 0.495 0.885
116 B 0.260 0.586 0.964

Calculated values
Symmetry: No. 14
Raw total energy, eV/atom: -8.351

Compound: Sr2B5HO10
Source: Alexandria
Functional: meta-GGA SCAN
Structure: PBEsol geometry

Lattice parameters (Å, degrees): 6.489 8.409 14.189 90.00 94.35 89.99
Element x y z (fractional)
1 O 0.382 0.853 0.415
2 B 0.041 0.204 0.436
3 O 0.647 0.045 0.744
4 O 0.840 0.206 0.469
5 B 0.573 0.553 0.320
6 B 0.041 0.296 0.936
7 O 0.027 0.700 0.868
8 O 0.973 0.200 0.632
9 O 0.973 0.300 0.132
10 Sr 0.048 0.500 0.273
11 O 0.317 0.113 0.665
12 O 0.071 0.213 0.344
13 B 0.959 0.796 0.564
14 O 0.439 0.819 0.779
15 B 0.193 0.225 0.606
16 O 0.683 0.613 0.835
17 O 0.353 0.955 0.256
18 O 0.439 0.048 0.880
19 O 0.071 0.287 0.844
20 B 0.187 0.684 0.935
21 O 0.244 0.390 0.624
22 O 0.683 0.887 0.335
23 O 0.797 0.812 0.496
24 O 0.561 0.181 0.221
25 Sr 0.522 0.843 0.610
26 B 0.466 0.660 0.816
27 O 0.840 0.294 0.969
28 O 0.647 0.455 0.244
29 Sr 0.478 0.343 0.890
30 O 0.755 0.890 0.876
31 B 0.465 0.840 0.316
32 O 0.797 0.688 0.996
33 O 0.756 0.610 0.376
34 O 0.618 0.353 0.085
35 B 0.573 0.947 0.820
36 H 0.587 0.489 0.562
37 O 0.160 0.706 0.031
38 B 0.959 0.704 0.064
39 B 0.534 0.340 0.184
40 O 0.561 0.952 0.120
41 B 0.807 0.725 0.894
42 O 0.561 0.319 0.721
43 Sr 0.952 0.000 0.227
44 O 0.317 0.387 0.165
45 B 0.813 0.316 0.065
46 O 0.929 0.713 0.156
47 O 0.382 0.647 0.915
48 O 0.160 0.794 0.531
49 O 0.439 0.681 0.279
50 Sr 0.522 0.657 0.110
51 O 0.245 0.110 0.124
52 O 0.203 0.312 0.004
53 O 0.027 0.800 0.368
54 O 0.929 0.787 0.656
55 O 0.561 0.548 0.620
56 O 0.618 0.147 0.585
57 O 0.439 0.452 0.380
58 Sr 0.952 0.500 0.727
59 H 0.413 0.511 0.438
60 B 0.807 0.775 0.394
61 H 0.587 0.011 0.062
62 B 0.193 0.275 0.106
63 B 0.535 0.160 0.684
64 B 0.186 0.816 0.435
65 O 0.353 0.545 0.756
66 B 0.427 0.053 0.180
67 O 0.203 0.188 0.504
68 Sr 0.048 0.000 0.773
69 Sr 0.478 0.157 0.390
70 B 0.427 0.447 0.680
71 B 0.814 0.184 0.565
72 H 0.413 0.989 0.938

Calculated values
Symmetry: No. 14
Raw total energy, eV/atom: -10.975

Compound: YB6H3O12
Source: Alexandria
Functional: meta-GGA SCAN
Structure: PBEsol geometry

Lattice parameters (Å, degrees): 8.363 8.363 8.363 60.30 60.30 60.30
Element x y z (fractional)
1 O 0.034 0.568 0.098
2 H 0.537 0.895 0.521
3 O 0.568 0.098 0.034
4 B 0.660 0.247 0.947
5 O 0.195 0.597 0.758
6 O 0.097 0.695 0.258
7 H 0.521 0.537 0.895
8 O 0.695 0.258 0.097
9 H 0.395 0.037 0.021
10 O 0.343 0.937 0.048
11 O 0.365 0.318 0.675
12 B 0.157 0.634 0.411
13 O 0.534 0.598 0.068
14 B 0.947 0.660 0.247
15 O 0.258 0.097 0.695
16 O 0.068 0.534 0.598
17 O 0.048 0.343 0.937
18 O 0.098 0.034 0.568
19 O 0.675 0.365 0.318
20 B 0.160 0.447 0.747
21 B 0.447 0.747 0.160
22 O 0.758 0.195 0.597
23 B 0.247 0.947 0.660
24 Y 0.035 0.035 0.035
25 O 0.437 0.843 0.548
26 H 0.021 0.395 0.037
27 B 0.411 0.157 0.634
28 O 0.937 0.048 0.343
29 B 0.634 0.411 0.157
30 O 0.843 0.548 0.437
31 B 0.911 0.134 0.657
32 O 0.318 0.675 0.365
33 O 0.598 0.068 0.534
34 H 0.895 0.521 0.537
35 Y 0.535 0.535 0.535
36 B 0.657 0.911 0.134
37 O 0.175 0.818 0.865
38 O 0.597 0.758 0.195
39 O 0.548 0.437 0.843
40 H 0.037 0.021 0.395
41 B 0.747 0.160 0.447
42 O 0.818 0.865 0.175
43 O 0.865 0.175 0.818
44 B 0.134 0.657 0.911

Calculated values
Symmetry: No. 161
Raw total energy, eV/atom: -9.679

> Number 2 is which compound?

Sr2B5HO10

> Which value of raw total energy does entry 3 give?

-9.679 eV/atom